DFT (PBE+U) results for TiZnCr2O6 after structural relaxation.

```
data_TiZnCr2O6
_cell_length_a 5.120
_cell_length_b 5.120
_cell_length_c 5.488
_cell_angle_alpha 62.19
_cell_angle_beta 62.20
_cell_angle_gamma 60.00
_symmetry_space_group_name_H-M 'P 1'
_symmetry_Int_Tables_number 1
loop_
_symmetry_equiv_pos_as_xyz
'x,y,z'
loop_
_atom_site_label
_atom_site_fract_x
_atom_site_fract_y
_atom_site_fract_z
Ti1 0.311 0.311 0.066
Zn1 0.796 0.796 0.612
Cr1 0.516 0.516 0.453
Cr2 0.015 0.015 0.956
O1 0.605 0.240 0.229
O2 0.240 0.926 0.229
O3 0.926 0.605 0.229
O4 0.400 0.720 0.747
O5 0.720 0.133 0.747
O6 0.133 0.400 0.747
```

## Properties
E: -7.5493 eV/atom
magnetic moment: 6.0 μB/f.u.